Here is crystalline LiErMg6Cd at its relaxed geometry from Alexandria via LeMat-Bulk. Energies are from PBE-GGA.

**DFT formation energy**: 0.117 eV/atom

Unit cell a=8.729 b=8.729 c=8.729 alpha=128.53 beta=111.23 gamma=90.85
Fractional positions:
Li: 0.500 0.000 0.000
Li: 0.500 0.500 0.500
Er: 0.049 0.299 0.750
Er: 0.951 0.701 0.250
Mg: 0.108 0.325 0.173
Mg: 0.108 0.935 0.783
Mg: 0.265 0.015 0.250
Mg: 0.327 0.577 0.750
Mg: 0.348 0.065 0.673
Mg: 0.348 0.675 0.283
Mg: 0.652 0.325 0.717
Mg: 0.652 0.935 0.327
Mg: 0.673 0.423 0.250
Mg: 0.735 0.985 0.750
Mg: 0.892 0.065 0.217
Mg: 0.892 0.675 0.827
Cd: 0.000 0.500 0.500
Cd: 0.500 0.500 0.000